Here is a relaxed structure of Pr2TlSn4 from the Alexandria database. Energies are from PBE.

Summary:
DFT total energy, eV per atom: -4.3867
Calculated volume, Å³/f.u.: 210
Formation enthalpy at 0 K, meV/atom: -396

a = 4.5636 Å, b = 4.5636 Å, c = 10.0692 Å
α = 90.00°, β = 90.00°, γ = 90.00°
Element x y z (fractional)
Pr 0.0000 0.5000 0.2464
Pr 0.5000 0.0000 0.7536
Tl 0.5000 0.5000 0.0000
Sn 0.0000 0.0000 0.5000
Sn 0.0000 0.5000 0.7922
Sn 0.5000 0.0000 0.2078
Sn 0.5000 0.5000 0.5000

Here is a relaxed structure of K2NaTi from the Alexandria database. Energies are from PBE.

Summary:
DFT total energy, eV per atom: -1.9893
Calculated volume, Å³/f.u.: 178
Formation enthalpy at 0 K, meV/atom: 863

a = 6.3143 Å, b = 6.3143 Å, c = 6.3143 Å
α = 60.00°, β = 60.00°, γ = 60.00°
Element x y z (fractional)
K 0.2500 0.2500 0.2500
K 0.7500 0.7500 0.7500
Na 0.0000 0.0000 0.0000
Ti 0.5000 0.5000 0.5000

Here is a relaxed structure of CaSmAs2 from the Alexandria database. Energies are from PBE.

Summary:
DFT total energy, eV per atom: -5.1858
Calculated volume, Å³/f.u.: 108
Formation enthalpy at 0 K, meV/atom: -1181

a = 7.4509 Å, b = 7.4509 Å, c = 7.4509 Å
α = 32.75°, β = 32.75°, γ = 32.75°
Element x y z (fractional)
Ca 0.0000 0.0000 0.0000
Sm 0.5000 0.5000 0.5000
As 0.2474 0.2474 0.2474
As 0.7526 0.7526 0.7526

Here is a relaxed structure of Tb2NdSm4 from the Alexandria database. Energies are from PBE.

Summary:
DFT total energy, eV per atom: -4.5798
Calculated volume, Å³/f.u.: 234
Formation enthalpy at 0 K, meV/atom: 121

a = 6.1618 Å, b = 6.6651 Å, c = 11.7530 Å
α = 90.00°, β = 104.38°, γ = 90.00°
Element x y z (fractional)
Tb 0.0983 0.2500 0.4989
Tb 0.3511 0.7500 0.0586
Tb 0.6489 0.2500 0.9414
Tb 0.9017 0.7500 0.5011
Nd 0.4840 0.7500 0.6488
Nd 0.5160 0.2500 0.3512
Sm 0.1431 0.0038 0.7876
Sm 0.1431 0.4962 0.7876
Sm 0.2099 0.2500 0.0643
Sm 0.3476 0.7500 0.3466
Sm 0.6524 0.2500 0.6534
Sm 0.7901 0.7500 0.9357
Sm 0.8569 0.5038 0.2124
Sm 0.8569 0.9962 0.2124

Here is a relaxed structure of ThNiRh3 from the Alexandria database. Energies are from PBE.

Summary:
DFT total energy, eV per atom: -6.8580
Calculated volume, Å³/f.u.: 109
Formation enthalpy at 0 K, meV/atom: 193

a = 7.1718 Å, b = 7.1718 Å, c = 4.9952 Å
α = 90.00°, β = 90.00°, γ = 122.15°
Element x y z (fractional)
Th 0.1441 0.8559 0.7500
Th 0.8559 0.1441 0.2500
Ni 0.3279 0.6721 0.7500
Ni 0.6721 0.3279 0.2500
Rh 0.1232 0.2468 0.7500
Rh 0.2468 0.1232 0.2500
Rh 0.5000 0.5000 0.0000
Rh 0.5000 0.5000 0.5000
Rh 0.7532 0.8768 0.7500
Rh 0.8768 0.7532 0.2500

Here is a relaxed structure of Li2Cu from the Alexandria database. Energies are from PBE.

Summary:
DFT total energy, eV per atom: -2.6552
Calculated volume, Å³/f.u.: 44
Formation enthalpy at 0 K, meV/atom: -14

a = 5.5339 Å, b = 5.5339 Å, c = 6.2848 Å
α = 104.55°, β = 104.55°, γ = 28.31°
Element x y z (fractional)
Li 0.1276 0.1276 0.0399
Li 0.1733 0.1733 0.6185
Li 0.8267 0.8267 0.3815
Li 0.8724 0.8724 0.9601
Cu 0.4795 0.4795 0.6959
Cu 0.5205 0.5205 0.3041

Here is a relaxed structure of Nd3Ge from the Alexandria database. Energies are from PBE.

Summary:
DFT total energy, eV per atom: -5.0264
Calculated volume, Å³/f.u.: 113
Formation enthalpy at 0 K, meV/atom: -296

a = 6.0454 Å, b = 6.0454 Å, c = 6.0454 Å
α = 133.89°, β = 133.89°, γ = 67.26°
Element x y z (fractional)
Nd 0.0000 0.0000 0.0000
Nd 0.2500 0.7500 0.5000
Nd 0.7500 0.2500 0.5000
Ge 0.5000 0.5000 0.0000

Here is a relaxed structure of PrSmAs2 from the Alexandria database. Energies are from PBE.

Summary:
DFT total energy, eV per atom: -6.0522
Calculated volume, Å³/f.u.: 112
Formation enthalpy at 0 K, meV/atom: -1353

a = 7.6594 Å, b = 7.6594 Å, c = 7.6594 Å
α = 31.97°, β = 31.97°, γ = 31.97°
Element x y z (fractional)
Pr 0.0000 0.0000 0.0000
Sm 0.8285 0.8285 0.8285
As 0.4148 0.4148 0.4148
As 0.5800 0.5800 0.5800

Here is a relaxed structure of Cs2YZn2O4 from the Alexandria database. Energies are from PBE.

Summary:
DFT total energy, eV per atom: -5.0941
Calculated volume, Å³/f.u.: 174
Formation energy from raw total energies, eV per atom: -1.70

a = 7.5214 Å, b = 7.5214 Å, c = 7.1789 Å
α = 107.01°, β = 107.01°, γ = 26.68°
Element x y z (fractional)
Cs 0.1314 0.1314 0.0609
Cs 0.8686 0.8686 0.9391
Y 0.0000 0.0000 0.5000
Zn 0.3213 0.3213 0.4657
Zn 0.6787 0.6787 0.5343
O 0.1652 0.1652 0.6777
O 0.4551 0.4551 0.6675
O 0.5449 0.5449 0.3325
O 0.8348 0.8348 0.3223

Here is a relaxed structure of AgHgMo2 from the Alexandria database. Energies are from PBE.

Summary:
DFT total energy, eV per atom: -5.6609
Calculated volume, Å³/f.u.: 69
Formation enthalpy at 0 K, meV/atom: 543

a = 5.3394 Å, b = 5.3394 Å, c = 5.3394 Å
α = 137.43°, β = 137.43°, γ = 61.78°
Element x y z (fractional)
Ag 0.0000 0.0000 0.0000
Hg 0.5000 0.5000 0.0000
Mo 0.2500 0.7500 0.5000
Mo 0.7500 0.2500 0.5000

Here is a relaxed structure of MgTl2Cd from the Alexandria database. Energies are from PBE.

Summary:
DFT total energy, eV per atom: -1.7755
Calculated volume, Å³/f.u.: 106
Formation enthalpy at 0 K, meV/atom: 35

a = 6.0690 Å, b = 6.0690 Å, c = 6.0690 Å
α = 142.83°, β = 126.94°, γ = 66.56°
Element x y z (fractional)
Mg 0.0000 0.0000 0.0000
Tl 0.2464 0.7464 0.5000
Tl 0.7536 0.2536 0.5000
Cd 0.5000 0.5000 0.0000

Here is a relaxed structure of BPC from the Alexandria database. Energies are from PBE.

Summary:
DFT total energy, eV per atom: -6.7991
Calculated volume, Å³/f.u.: 30
Formation enthalpy at 0 K, meV/atom: 305

a = 4.3773 Å, b = 4.3773 Å, c = 4.3773 Å
α = 144.22°, β = 141.67°, γ = 53.44°
Element x y z (fractional)
B 0.0000 0.0000 0.0000
P 0.2459 0.2459 0.0000
C 0.8967 0.3967 0.5000

Here is a relaxed structure of HgRhPb2 from the Alexandria database. Energies are from PBE.

Summary:
DFT total energy, eV per atom: -3.6454
Calculated volume, Å³/f.u.: 99
Formation enthalpy at 0 K, meV/atom: 122

a = 10.0996 Å, b = 10.0996 Å, c = 10.0996 Å
α = 19.36°, β = 19.36°, γ = 19.36°
Element x y z (fractional)
Hg 0.0000 0.0000 0.0000
Rh 0.7352 0.7352 0.7352
Pb 0.2404 0.2404 0.2404
Pb 0.4676 0.4676 0.4676

Here is a relaxed structure of RuS3Br from the Alexandria database. Energies are from PBE.

Summary:
DFT total energy, eV per atom: -3.0240
Calculated volume, Å³/f.u.: 111
Formation energy from raw total energies, eV per atom: 1.64

a = 4.8109 Å, b = 4.8109 Å, c = 4.8109 Å
α = 90.00°, β = 90.00°, γ = 90.00°
Element x y z (fractional)
Ru 0.0000 0.0000 0.0000
S 0.0000 0.5000 0.5000
S 0.5000 0.0000 0.5000
S 0.5000 0.5000 0.0000
Br 0.5000 0.5000 0.5000

Here is a relaxed structure of Cd5Hg12Te3 from the Alexandria database. Energies are from PBE.

Summary:
DFT total energy, eV per atom: -0.8325
Calculated volume, Å³/f.u.: 663
Formation energy from raw total energies, eV per atom: 0.05

a = 15.1054 Å, b = 15.1054 Å, c = 15.1054 Å
α = 109.47°, β = 109.47°, γ = 109.47°
Element x y z (fractional)
Cd 0.0000 0.0000 0.0000
Cd 0.0000 0.0000 0.5000
Cd 0.0000 0.5000 0.0000
Cd 0.0000 0.5000 0.5000
Cd 0.1250 0.7500 0.8750
Cd 0.1250 0.8750 0.2500
Cd 0.2500 0.1250 0.8750
Cd 0.2500 0.6250 0.3750
Cd 0.3750 0.2500 0.6250
Cd 0.3750 0.6250 0.7500
Cd 0.5000 0.0000 0.0000
Cd 0.5000 0.0000 0.5000
Cd 0.5000 0.5000 0.0000
Cd 0.5000 0.5000 0.5000
Cd 0.6250 0.3750 0.2500
Cd 0.6250 0.7500 0.3750
Cd 0.7500 0.3750 0.6250
Cd 0.7500 0.8750 0.1250
Cd 0.8750 0.1250 0.7500
Cd 0.8750 0.2500 0.1250
Hg 0.0526 0.2261 0.1235
Hg 0.0526 0.3265 0.9291
Hg 0.0709 0.6235 0.3974
Hg 0.0709 0.9474 0.6735
Hg 0.1026 0.7261 0.6735
Hg 0.1026 0.8765 0.4291
Hg 0.1235 0.0526 0.2261
Hg 0.1235 0.5709 0.8974
Hg 0.1735 0.2261 0.6026
Hg 0.1735 0.4474 0.5709
Hg 0.2261 0.1235 0.0526
Hg 0.2261 0.6026 0.1735
Hg 0.2739 0.3265 0.8974
Hg 0.2739 0.4474 0.3765
Hg 0.3265 0.8974 0.2739
Hg 0.3265 0.9291 0.0526
Hg 0.3765 0.2739 0.4474
Hg 0.3765 0.6026 0.9291
Hg 0.3974 0.0709 0.6235
Hg 0.3974 0.8265 0.7739
Hg 0.4291 0.1026 0.8765
Hg 0.4291 0.8265 0.5526
Hg 0.4474 0.3765 0.2739
Hg 0.4474 0.5709 0.1735
Hg 0.5526 0.4291 0.8265
Hg 0.5526 0.6235 0.7261
Hg 0.5709 0.1735 0.4474
Hg 0.5709 0.8974 0.1235
Hg 0.6026 0.1735 0.2261
Hg 0.6026 0.9291 0.3765
Hg 0.6235 0.3974 0.0709
Hg 0.6235 0.7261 0.5526
Hg 0.6735 0.0709 0.9474
Hg 0.6735 0.1026 0.7261
Hg 0.7261 0.5526 0.6235
Hg 0.7261 0.6735 0.1026
Hg 0.7739 0.3974 0.8265
Hg 0.7739 0.8765 0.9474
Hg 0.8265 0.5526 0.4291
Hg 0.8265 0.7739 0.3974
Hg 0.8765 0.4291 0.1026
Hg 0.8765 0.9474 0.7739
Hg 0.8974 0.1235 0.5709
Hg 0.8974 0.2739 0.3265
Hg 0.9291 0.0526 0.3265
Hg 0.9291 0.3765 0.6026
Hg 0.9474 0.6735 0.0709
Hg 0.9474 0.7739 0.8765
Te 0.1250 0.2500 0.3750
Te 0.1250 0.3750 0.7500
Te 0.2500 0.3750 0.1250
Te 0.2500 0.8750 0.6250
Te 0.3750 0.1250 0.2500
Te 0.3750 0.7500 0.1250
Te 0.6250 0.2500 0.8750
Te 0.6250 0.8750 0.7500
Te 0.7500 0.1250 0.3750
Te 0.7500 0.6250 0.8750
Te 0.8750 0.6250 0.2500
Te 0.8750 0.7500 0.6250

Here is a relaxed structure of Dy7Sn3C2 from the Alexandria database. Energies are from PBE.

Summary:
DFT total energy, eV per atom: -5.8766
Calculated volume, Å³/f.u.: 301
Formation enthalpy at 0 K, meV/atom: -654

a = 13.2231 Å, b = 13.2231 Å, c = 13.2231 Å
α = 158.86°, β = 158.86°, γ = 30.08°
Element x y z (fractional)
Dy 0.0000 0.0000 0.0000
Dy 0.0957 0.5957 0.5000
Dy 0.1944 0.1944 0.0000
Dy 0.4043 0.9043 0.5000
Dy 0.5957 0.0957 0.5000
Dy 0.8056 0.8056 0.0000
Dy 0.9043 0.4043 0.5000
Sn 0.3191 0.3191 0.0000
Sn 0.5000 0.5000 0.0000
Sn 0.6809 0.6809 0.0000
C 0.0976 0.0976 0.0000
C 0.9024 0.9024 0.0000

Here is a relaxed structure of PmY6Sc2 from the Alexandria database. Energies are from PBE.

Summary:
DFT total energy, eV per atom: -6.1605
Calculated volume, Å³/f.u.: 276
Formation enthalpy at 0 K, meV/atom: 84

a = 11.6988 Å, b = 11.6988 Å, c = 5.5682 Å
α = 103.71°, β = 103.71°, γ = 48.63°
Element x y z (fractional)
Pm 0.2501 0.7499 0.7500
Pm 0.7499 0.2501 0.2500
Y 0.0039 0.1708 0.8381
Y 0.0806 0.5806 0.5810
Y 0.1708 0.0039 0.3381
Y 0.3291 0.4961 0.1641
Y 0.4194 0.9194 0.9190
Y 0.4961 0.3291 0.6641
Y 0.5039 0.6709 0.3359
Y 0.5806 0.0806 0.0810
Y 0.6709 0.5039 0.8359
Y 0.8292 0.9961 0.6619
Y 0.9194 0.4194 0.4190
Y 0.9961 0.8292 0.1619
Sc 0.1666 0.3334 0.9992
Sc 0.3334 0.1666 0.4992
Sc 0.6666 0.8334 0.5008
Sc 0.8334 0.6666 0.0008

Here is a relaxed structure of Hf2SnHgBr from the Alexandria database. Energies are from PBE.

Summary:
DFT total energy, eV per atom: -4.3604
Calculated volume, Å³/f.u.: 135
Formation energy from raw total energies, eV per atom: 0.82

a = 4.9414 Å, b = 4.9414 Å, c = 5.5423 Å
α = 90.00°, β = 90.00°, γ = 90.00°
Element x y z (fractional)
Hf 0.0000 0.5000 0.0000
Hf 0.5000 0.0000 0.0000
Sn 0.0000 0.0000 0.5000
Hg 0.5000 0.5000 0.5000
Br 0.0000 0.0000 0.0000

Here is a relaxed structure of CsLiAs2Br from the Alexandria database. Energies are from PBE.

Summary:
DFT total energy, eV per atom: -2.0243
Calculated volume, Å³/f.u.: 266
Formation energy from raw total energies, eV per atom: 0.72

a = 6.3073 Å, b = 6.3073 Å, c = 6.6911 Å
α = 90.00°, β = 90.00°, γ = 90.00°
Element x y z (fractional)
Cs 0.0000 0.0000 0.0000
Li 0.5000 0.5000 0.5000
As 0.0000 0.5000 0.0000
As 0.5000 0.0000 0.0000
Br 0.0000 0.0000 0.5000

Here is a relaxed structure of HgSBr3 from the Alexandria database. Energies are from PBE.

Summary:
DFT total energy, eV per atom: -1.4332
Calculated volume, Å³/f.u.: 169
Formation energy from raw total energies, eV per atom: 0.46

a = 5.5295 Å, b = 5.5295 Å, c = 5.5295 Å
α = 90.00°, β = 90.00°, γ = 90.00°
Element x y z (fractional)
Hg 0.0000 0.0000 0.0000
S 0.5000 0.5000 0.5000
Br 0.0000 0.0000 0.5000
Br 0.0000 0.5000 0.0000
Br 0.5000 0.0000 0.0000